# 1
! LiZnNiBi (PBE, optimized geometry); values from VASP
! - VASP energy: -3.16 eV per atom
! - Volume: 17.1 Å³/atom
! - Energy relative to the lowest polymorph listed for this composition: 157 meV per atom
! - ρ: 8.2 Mg/m³
&SYSTEM
  ibrav = 0, nat = 16, ntyp = 4
/
ATOMIC_SPECIES
Li 6.94 Li.upf
Zn 65.41 Zn.upf
Ni 58.69 Ni.upf
Bi 208.98 Bi.upf
CELL_PARAMETERS angstrom
6.496 0.000 0.000
0.000 6.496 0.000
0.000 0.000 6.496
ATOMIC_POSITIONS crystal
Li 0.000 0.000 0.000
Li 0.000 0.500 0.500
Li 0.500 0.000 0.500
Li 0.500 0.500 0.000
Zn 0.250 0.250 0.750
Zn 0.250 0.750 0.250
Zn 0.750 0.250 0.250
Zn 0.750 0.750 0.750
Ni 0.250 0.250 0.250
Ni 0.250 0.750 0.750
Ni 0.750 0.250 0.750
Ni 0.750 0.750 0.250
Bi 0.000 0.000 0.500
Bi 0.000 0.500 0.000
Bi 0.500 0.000 0.000
Bi 0.500 0.500 0.500


# 2
! LiZnNiBi (PBE, optimized geometry); values from VASP
! - VASP energy: -3.12 eV per atom
! - Volume: 16.7 Å³/atom
! - Energy relative to the lowest polymorph listed for this composition: 191 meV per atom
! - ρ: 8.4 Mg/m³
&SYSTEM
  ibrav = 0, nat = 16, ntyp = 4
/
ATOMIC_SPECIES
Li 6.94 Li.upf
Zn 65.41 Zn.upf
Ni 58.69 Ni.upf
Bi 208.98 Bi.upf
CELL_PARAMETERS angstrom
6.442 0.000 0.000
0.000 6.442 0.000
0.000 0.000 6.442
ATOMIC_POSITIONS crystal
Li 0.000 0.000 0.000
Li 0.000 0.500 0.500
Li 0.500 0.000 0.500
Li 0.500 0.500 0.000
Zn 0.000 0.000 0.500
Zn 0.000 0.500 0.000
Zn 0.500 0.000 0.000
Zn 0.500 0.500 0.500
Ni 0.250 0.250 0.250
Ni 0.250 0.750 0.750
Ni 0.750 0.250 0.750
Ni 0.750 0.750 0.250
Bi 0.250 0.250 0.750
Bi 0.250 0.750 0.250
Bi 0.750 0.250 0.250
Bi 0.750 0.750 0.750


# 3
! LiZnNiBi (PBE, optimized geometry); values from VASP
! - VASP energy: -3.31 eV per atom
! - Volume: 16.2 Å³/atom
! - Energy relative to the lowest polymorph listed for this composition: 0 meV per atom
! - ρ: 8.7 Mg/m³
&SYSTEM
  ibrav = 0, nat = 16, ntyp = 4
/
ATOMIC_SPECIES
Li 6.94 Li.upf
Zn 65.41 Zn.upf
Ni 58.69 Ni.upf
Bi 208.98 Bi.upf
CELL_PARAMETERS angstrom
6.371 0.000 0.000
0.000 6.371 0.000
0.000 0.000 6.371
ATOMIC_POSITIONS crystal
Li 0.000 0.000 0.000
Li 0.000 0.500 0.500
Li 0.500 0.000 0.500
Li 0.500 0.500 0.000
Zn 0.250 0.250 0.750
Zn 0.250 0.750 0.250
Zn 0.750 0.250 0.250
Zn 0.750 0.750 0.750
Ni 0.000 0.000 0.500
Ni 0.000 0.500 0.000
Ni 0.500 0.000 0.000
Ni 0.500 0.500 0.500
Bi 0.250 0.250 0.250
Bi 0.250 0.750 0.750
Bi 0.750 0.250 0.750
Bi 0.750 0.750 0.250


# 4
! Li4BiOsO6 (PBE, optimized geometry); values from VASP
! - VASP energy: -5.88 eV per atom
! - Volume: 10.6 Å³/atom
! - ρ: 6.8 Mg/m³
&SYSTEM
  ibrav = 0, nat = 12, ntyp = 4
/
ATOMIC_SPECIES
Li 6.94 Li.upf
Bi 208.98 Bi.upf
Os 190.23 Os.upf
O 16.00 O.upf
CELL_PARAMETERS angstrom
2.715 -4.757 0.000
2.715 4.757 0.000
-1.742 0.000 4.939
ATOMIC_POSITIONS crystal
Li 0.000 0.000 0.000
Li 0.378 0.622 0.000
Li 0.678 0.322 0.000
Li 0.851 0.149 0.500
Bi 0.186 0.814 0.500
Os 0.516 0.484 0.500
O 0.135 0.391 0.254
O 0.282 0.264 0.733
O 0.453 0.120 0.256
O 0.609 0.865 0.746
O 0.736 0.718 0.267
O 0.880 0.547 0.744


# 5
! Li4TaBiO6 (PBE, optimized geometry); values from VASP
! - VASP energy: -6.51 eV per atom
! - Volume: 10.9 Å³/atom
! - ρ: 6.5 Mg/m³
&SYSTEM
  ibrav = 0, nat = 12, ntyp = 4
/
ATOMIC_SPECIES
Li 6.94 Li.upf
Ta 180.95 Ta.upf
Bi 208.98 Bi.upf
O 16.00 O.upf
CELL_PARAMETERS angstrom
2.747 -4.808 0.000
2.747 4.808 0.000
-1.762 0.000 4.936
ATOMIC_POSITIONS crystal
Li 0.000 0.000 0.000
Li 0.380 0.620 0.000
Li 0.694 0.306 0.000
Li 0.857 0.143 0.500
Ta 0.523 0.477 0.500
Bi 0.190 0.810 0.500
O 0.140 0.389 0.257
O 0.286 0.262 0.730
O 0.460 0.117 0.259
O 0.611 0.860 0.743
O 0.738 0.714 0.270
O 0.883 0.540 0.741


# 6
! LiBi5Os3 (PBE, optimized geometry); values from VASP
! - VASP energy: -5.68 eV per atom
! - Volume: 26.9 Å³/atom
! - ρ: 11.1 Mg/m³
&SYSTEM
  ibrav = 0, nat = 9, ntyp = 3
/
ATOMIC_SPECIES
Li 6.94 Li.upf
Bi 208.98 Bi.upf
Os 190.23 Os.upf
CELL_PARAMETERS angstrom
5.777 0.000 0.000
-2.889 5.003 0.000
0.000 0.000 8.386
ATOMIC_POSITIONS crystal
Li 0.000 0.000 0.000
Bi 0.000 0.000 0.500
Bi 0.333 0.667 0.226
Bi 0.333 0.667 0.774
Bi 0.667 0.333 0.226
Bi 0.667 0.333 0.774
Os 0.000 0.500 0.500
Os 0.500 0.000 0.500
Os 0.500 0.500 0.500


# 7
! LiBiOs (PBE, optimized geometry); values from VASP
! - VASP energy: -5.19 eV per atom
! - Volume: 20.6 Å³/atom
! - Energy relative to the lowest polymorph listed for this composition: 0 meV per atom
! - ρ: 10.9 Mg/m³
&SYSTEM
  ibrav = 0, nat = 12, ntyp = 3
/
ATOMIC_SPECIES
Li 6.94 Li.upf
Bi 208.98 Bi.upf
Os 190.23 Os.upf
CELL_PARAMETERS angstrom
6.276 0.000 0.000
0.000 6.276 0.000
0.000 0.000 6.276
ATOMIC_POSITIONS crystal
Li 0.000 0.000 0.000
Li 0.000 0.500 0.500
Li 0.500 0.000 0.500
Li 0.500 0.500 0.000
Bi 0.000 0.000 0.500
Bi 0.000 0.500 0.000
Bi 0.500 0.000 0.000
Bi 0.500 0.500 0.500
Os 0.250 0.250 0.750
Os 0.250 0.750 0.250
Os 0.750 0.250 0.250
Os 0.750 0.750 0.750


# 8
! LiBiOsPb (PBE, optimized geometry); values from VASP
! - VASP energy: -4.90 eV per atom
! - Volume: 19.9 Å³/atom
! - Energy relative to the lowest polymorph listed for this composition: 0 meV per atom
! - ρ: 12.8 Mg/m³
&SYSTEM
  ibrav = 0, nat = 16, ntyp = 4
/
ATOMIC_SPECIES
Li 6.94 Li.upf
Bi 208.98 Bi.upf
Os 190.23 Os.upf
Pb 207.20 Pb.upf
CELL_PARAMETERS angstrom
6.827 0.000 0.000
0.000 6.827 0.000
0.000 0.000 6.827
ATOMIC_POSITIONS crystal
Li 0.000 0.000 0.000
Li 0.000 0.500 0.500
Li 0.500 0.000 0.500
Li 0.500 0.500 0.000
Bi 0.250 0.250 0.750
Bi 0.250 0.750 0.250
Bi 0.750 0.250 0.250
Bi 0.750 0.750 0.750
Os 0.000 0.000 0.500
Os 0.000 0.500 0.000
Os 0.500 0.000 0.000
Os 0.500 0.500 0.500
Pb 0.250 0.250 0.250
Pb 0.250 0.750 0.750
Pb 0.750 0.250 0.750
Pb 0.750 0.750 0.250